# 1
VASP calculation (PBE-GGA) on an optimized crystal structure of Sb3PI.

Unit cell a=5.331 b=5.331 c=5.331 alpha=90.00 beta=90.00 gamma=90.00
Fractional coordinates of all 5 atoms:
I (0.500, 0.500, 0.500)
Sb (0.000, 0.500, 0.000)
Sb (0.000, 0.000, 0.500)
Sb (0.500, 0.000, 0.000)
P (0.000, 0.000, 0.000)

Results
- V: 30.29 Å³/atom
- Total magnetic moment: 0.00 μB per formula unit
- Raw total energy: -3.298 eV/atom
- Distance to the lowest polymorph of the same formula: 0 meV per atom

---

# 2
VASP calculation (PBE-GGA) on an optimized crystal structure of KPa2Se6S2.

Unit cell a=7.587 b=8.122 c=13.122 alpha=134.81 beta=81.21 gamma=66.82
Each line ends with the local moment (μB).
Fractional coordinates of all 11 atoms:
K (0.500, 0.000, 0.500)  0.00
Pa (0.876, 0.276, 0.885)  0.09
Pa (0.124, 0.724, 0.115)  0.09
Se (0.547, 0.419, 0.826)  0.00
Se (0.077, 0.351, 0.058)  0.00
Se (0.262, 0.662, 0.476)  0.11
Se (0.923, 0.649, 0.942)  0.00
Se (0.738, 0.338, 0.524)  0.11
Se (0.453, 0.581, 0.174)  0.00
S (0.182, 0.641, 0.633)  0.09
S (0.818, 0.359, 0.367)  0.09

Results
- V: 36.04 Å³/atom
- Total magnetic moment: 0.83 μB per formula unit
- Raw total energy: -5.421 eV/atom

---

# 3
VASP calculation (PBE-GGA) on an optimized crystal structure of TbNdErCd.

Unit cell a=5.496 b=5.496 c=5.496 alpha=60.00 beta=60.00 gamma=60.00
Fractional coordinates of all 4 atoms:
Nd (0.000, 0.000, 0.000)
Cd (0.750, 0.750, 0.750)
Tb (0.500, 0.500, 0.500)
Er (0.250, 0.250, 0.250)

Results
- V: 29.34 Å³/atom
- Total magnetic moment: 0.00 μB per formula unit
- Raw total energy: -3.756 eV/atom
- Distance to the lowest polymorph of the same formula: 114 meV per atom

---

# 4
VASP calculation (PBE-GGA) on an optimized crystal structure of LiTa2O6.

Unit cell a=5.585 b=5.585 c=5.585 alpha=56.67 beta=56.67 gamma=56.67
Each line ends with the local moment (μB).
Fractional coordinates of all 9 atoms:
Li (0.209, 0.209, 0.209)  0.00
Ta (0.502, 0.502, 0.502)  -0.05
Ta (0.992, 0.992, 0.992)  -0.04
O (0.314, 0.188, 0.763)  0.25
O (0.763, 0.314, 0.188)  0.25
O (0.188, 0.763, 0.314)  0.25
O (0.253, 0.635, 0.868)  0.07
O (0.868, 0.253, 0.635)  0.07
O (0.635, 0.868, 0.253)  0.07

Results
- V: 12.64 Å³/atom
- Total magnetic moment: 1.04 μB per formula unit
- Raw total energy: -8.638 eV/atom
- Distance to the lowest polymorph of the same formula: 0 meV per atom